TbAgSeO | PBE | relaxed

Results
Raw total energy ... -5.673 eV per atom

Unit cell a=6.931 b=6.628 c=6.329 alpha=90.00 beta=95.71 gamma=90.00
Space group P2_1/c (No. 14)
Asymmetric unit:
Tb: 0.095 0.056 0.251
Ag: 0.424 0.711 0.500
Se: 0.317 0.061 0.697
O: 0.037 0.716 0.529



Dy3Er2S7 | PBE | relaxed

Results
E above lowest polymorph ... 0.000 eV/atom

Unit cell a=12.765 b=3.791 c=11.558 alpha=90.00 beta=104.61 gamma=90.00
Space group C2/m (No. 12)
Asymmetric unit:
Dy: 0.000 0.000 0.000
Dy: 0.200 0.500 0.811
Er: 0.112 0.000 0.422
S: 0.000 0.500 0.500
S: 0.040 0.000 0.784
S: 0.160 0.500 0.051
S: 0.240 0.500 0.354



MgCo2Te4 | PBE | relaxed

Results
Raw total energy ... -4.290 eV per atom

Unit cell a=11.125 b=11.125 c=11.125 alpha=90.00 beta=90.00 gamma=90.00
Space group Fd-3m (No. 227, origin choice 2)
Asymmetric unit:
Mg: 0.125 0.125 0.125
Co: 0.000 0.000 0.500
Te: 0.018 0.018 0.732



K2RbAg3P2 | PBE | relaxed

Results
Raw total energy ... -3.148 eV per atom

Unit cell a=6.0527 b=6.0527 c=20.8969 alpha=90.00 beta=90.00 gamma=120.00
Space group R-3m (No. 166, hexagonal axes)
Asymmetric unit:
K: 0.0000 0.0000 0.0934
Rb: 0.0000 0.0000 0.5000
Ag: 0.0000 0.5000 0.0000
P: 0.0000 0.0000 0.2497



La3PrZn12Ge6 | PBE | relaxed

Results
Raw total energy ... -3.290 eV per atom

Unit cell a=7.717 b=4.149 c=13.367 alpha=90.00 beta=90.00 gamma=90.00
Space group Pm (No. 6)
Asymmetric unit:
La: 0.000 0.000 0.000
La: 0.000 0.000 0.333
La: 0.500 0.000 0.833
Pr: 0.500 0.000 0.500
Zn: 0.145 0.500 0.521
Zn: 0.145 0.500 0.812
Zn: 0.188 0.000 0.667
Zn: 0.210 0.500 0.167
Zn: 0.406 0.000 0.073
Zn: 0.406 0.000 0.261
Zn: 0.645 0.500 0.022
Zn: 0.645 0.500 0.312
Zn: 0.688 0.000 0.167
Zn: 0.710 0.500 0.667
Zn: 0.906 0.000 0.573
Zn: 0.906 0.000 0.761
Ge: 0.311 0.500 0.356
Ge: 0.311 0.500 0.977
Ge: 0.379 0.500 0.667
Ge: 0.811 0.500 0.477
Ge: 0.811 0.500 0.856
Ge: 0.879 0.500 0.167



LiPmIn | PBE | relaxed

Results
E above lowest polymorph ... 0.364 eV/atom

Unit cell a=7.171 b=7.171 c=7.171 alpha=90.00 beta=90.00 gamma=90.00
Space group F-43m (No. 216)
Asymmetric unit:
Li: 0.000 0.000 0.000
Pm: 0.250 0.250 0.750
In: 0.000 0.000 0.500



CsDyO3 | PBE | relaxed

Results
Raw total energy ... -5.913 eV per atom

Unit cell a=4.519 b=4.519 c=4.519 alpha=90.00 beta=90.00 gamma=90.00
Space group P4mm (No. 99)
Asymmetric unit:
Cs: 0.000 0.000 0.000
Dy: 0.500 0.500 0.503
O: 0.000 0.500 0.504
O: 0.500 0.500 0.002



InPtAuSeS2 | PBE | relaxed

Results
Raw total energy ... -4.218 eV per atom

Unit cell a=3.673 b=13.080 c=10.607 alpha=90.00 beta=90.00 gamma=90.00
Space group Cmcm (No. 63)
Asymmetric unit:
In: 0.000 0.185 0.250
Pt: 0.000 0.500 0.000
Au: 0.000 0.152 0.750
Se: 0.000 0.472 0.750
S: 0.000 0.119 0.519



Pt3AuSe5 | PBE | relaxed

Results
Raw total energy ... -4.146 eV per atom

Unit cell a=6.0569 b=6.0569 c=6.5379 alpha=90.00 beta=90.00 gamma=120.00
Space group P6/mmm (No. 191)
Asymmetric unit:
Pt: 0.0000 0.5000 0.0000
Au: 0.0000 0.0000 0.5000
Se: 0.0000 0.0000 0.0000
Se: 0.3333 0.6667 0.2686



ScBeAg | PBE | relaxed

Results
E above lowest polymorph ... 0.460 eV/atom

Unit cell a=6.212 b=6.212 c=6.212 alpha=90.00 beta=90.00 gamma=90.00
Space group F-43m (No. 216)
Asymmetric unit:
Sc: 0.000 0.000 0.000
Be: 0.250 0.250 0.250
Ag: 0.250 0.250 0.750



OsF6 | PBE | relaxed

Results
Raw total energy ... -4.834 eV per atom

Unit cell a=5.915 b=5.915 c=5.915 alpha=90.00 beta=90.00 gamma=90.00
Space group Im-3m (No. 229)
Asymmetric unit:
Os: 0.000 0.000 0.000
F: 0.000 0.000 0.313



Y2Si5Ir3 | PBE | relaxed

Results
Raw total energy ... -7.640 eV per atom

Unit cell a=9.996 b=11.472 c=5.846 alpha=90.00 beta=90.00 gamma=90.00
Space group Ibam (No. 72)
Asymmetric unit:
Y: 0.229 0.130 0.000
Si: 0.000 0.000 0.250
Si: 0.000 0.274 0.250
Si: 0.156 0.394 0.000
Ir: 0.000 0.500 0.250
Ir: 0.114 0.140 0.500